A relaxed NaUAs2O8 crystal. Source: Alexandria, functional PBE-GGA.

Values from the calculation:
Its crystal system is tetragonal. For the final energy, the calculation gives -6.973 eV/atom. The value obtained for the calculated volume is 161 Å³/cell. For the energy relative to the elements, uncorrected, the calculation gives -1.84 eV/atom. The symmetry is I-4m2 (119).

abc: 5.952 5.952 5.952
angles: 106.41 106.41 115.79
Each line ends with the local moment (μB).
Element x y z (fractional)
O1 0.934 0.612 0.678  -0.01
As1 0.750 0.250 0.500  0.00
U1 0.250 0.750 0.500  1.07
O2 0.934 0.255 0.322  -0.01
O3 0.470 0.663 0.807  -0.01
As2 0.500 0.500 0.000  0.00
O4 0.745 0.066 0.678  -0.01
O5 0.337 0.143 0.807  -0.01
Na1 0.000 0.000 0.000  0.00
O6 0.388 0.066 0.322  -0.01
O7 0.337 0.530 0.193  -0.01
O8 0.857 0.663 0.193  -0.01